Below is crystalline DyTm3Tl4 at its relaxed geometry, with properties calculated at the PBE-GGA level.

a = 6.5577 Å, b = 6.6594 Å, c = 10.0148 Å
α = 90.00°, β = 90.00°, γ = 90.00°
With the nearest neighbours (Å) after each atom.
Element x y z (fractional)
Dy 0.3151 0.5007 0.5000  6 Tl 3.28-3.43, 6 Tm 3.33-3.43
Tl 0.8151 0.5006 0.5000  2 Dy 3.28, 6 Tl 3.33-3.43, 4 Tm 3.43
Tl 0.0644 0.2499 0.2501  6 Tm 3.28-3.43, 2 Dy 3.42-3.43, 4 Tl 3.42-3.43
Tl 0.3138 0.9996 0.0000  6 Tm 3.28-3.42, 6 Tl 3.33-3.42
Tl 0.5644 0.7501 0.7501  6 Tm 3.28-3.43, 2 Dy 3.42-3.43, 4 Tl 3.42-3.43
Tm 0.8136 0.9995 0.0000  6 Tl 3.28-3.43, 2 Dy 3.33, 4 Tm 3.42
Tm 0.0645 0.7514 0.2499  8 Tl 3.28-3.43, 2 Tm 3.42, 2 Dy 3.43
Tl 0.3151 0.4994 0.0000  2 Dy 3.28, 6 Tl 3.33-3.43, 4 Tm 3.43
Tl 0.0644 0.2499 0.7499  6 Tm 3.28-3.43, 2 Dy 3.42-3.43, 4 Tl 3.42-3.43
Tm 0.5645 0.2486 0.2501  8 Tl 3.28-3.43, 2 Tm 3.42, 2 Dy 3.43
Dy 0.8151 0.4993 0.0000  6 Tl 3.28-3.43, 6 Tm 3.33-3.43
Tl 0.8138 0.0004 0.5000  6 Tm 3.28-3.42, 6 Tl 3.33-3.42
Tm 0.0645 0.7514 0.7501  8 Tl 3.28-3.43, 2 Tm 3.42, 2 Dy 3.43
Tl 0.5644 0.7501 0.2499  6 Tm 3.28-3.43, 2 Dy 3.42-3.43, 4 Tl 3.42-3.43
Tm 0.5645 0.2486 0.7499  8 Tl 3.28-3.43, 2 Tm 3.42, 2 Dy 3.43
Tm 0.3136 0.0005 0.5000  6 Tl 3.28-3.43, 2 Dy 3.33, 4 Tm 3.42

Computed properties:
Calculated total energy, eV per cell: -57.98
Space-group type: Pmn2_1, No. 31
Relative energy among the computed polymorphs, eV per formula unit: 0.93
N(E_F), states/eV/f.u.: 6.8